# 1
Here is an optimized crystal structure of La2InCl from Alexandria via LeMat-Bulk. Energies are from PBE.

Unit cell a=6.178 b=6.178 c=9.220 alpha=70.43 beta=70.43 gamma=90.00
Fractional coordinates of all 8 atoms:
In1 0.750 0.250 0.500
In2 0.000 0.000 0.000
La1 0.875 0.842 0.750
La2 0.158 0.625 0.250
La3 0.592 0.125 0.250
Cl1 0.250 0.750 0.500
La4 0.375 0.408 0.750
Cl2 0.500 0.500 0.000

***

# 2
Here is an optimized crystal structure of La8TcRh3I4 from Alexandria via LeMat-Bulk. Energies are from PBE.

Unit cell a=8.458 b=9.624 c=8.466 alpha=116.15 beta=119.97 gamma=90.00
Fractional coordinates of all 16 atoms:
La1 0.263 0.312 0.038
I1 0.000 0.000 0.000
La2 0.273 0.317 0.545
Tc1 0.000 0.500 0.000
La3 0.737 0.688 0.962
La4 0.225 0.688 0.962
Rh1 0.500 0.500 0.000
Rh2 0.500 0.500 0.500
I2 0.500 0.000 0.000
La5 0.775 0.312 0.549
La6 0.225 0.688 0.451
La7 0.727 0.683 0.455
Rh3 0.000 0.500 0.500
I3 0.000 0.000 0.500
La8 0.775 0.312 0.038
I4 0.500 0.000 0.500

***

# 3
Here is an optimized crystal structure of Pa6Ge2AsSe3 from Alexandria via LeMat-Bulk. Energies are from PBE.

Unit cell a=4.148 b=8.091 c=9.110 alpha=101.38 beta=103.16 gamma=90.00
Fractional coordinates of all 12 atoms:
Ge1 0.166 0.332 0.332
Pa1 0.000 0.249 0.999
Se1 0.833 0.167 0.665
Pa2 0.333 0.417 0.666
Ge2 0.834 0.668 0.668
As1 0.500 0.000 0.000
Pa3 0.000 0.751 0.001
Se2 0.167 0.833 0.335
Pa4 0.334 0.917 0.667
Pa5 0.667 0.583 0.334
Pa6 0.666 0.083 0.333
Se3 0.500 0.500 0.000

***

So what do the calculations give for uncorrected formation energy? Going down the list: -579.7, -915.0, -965.9 meV/atom.
So what do the calculations give for total magnetization? Going down the list: 0.000, 0.000, 0.000 μB/atom.